(1)
CeGaCo2H8 after structural relaxation, computed with PBE.

Cell and atoms, written as CIF:
```
data_CeGaCo2H8
_space_group_name_H-M_alt 'P -3 m 1'
_space_group_IT_number 164
_space_group_name_Hall '-P 3 2"'
_cell_length_a 4.5782
_cell_length_b 4.5782
_cell_length_c 6.1719
_cell_angle_alpha 90.00
_cell_angle_beta 90.00
_cell_angle_gamma 120.00
loop_
_atom_site_label
_atom_site_type_symbol
_atom_site_fract_x
_atom_site_fract_y
_atom_site_fract_z
Ce1 Ce 0.0000 0.0000 0.0000
Ga1 Ga 0.0000 0.0000 0.5000
Co1 Co 0.3333 0.6667 0.1383
H1 H 0.1765 0.3531 0.3080
H2 H 0.3333 0.6667 0.8847
```

---

(2)
PrNdSm5Y2 after structural relaxation, computed with PBE.

Cell and atoms, written as CIF:
```
data_PrNdSm5Y2
_space_group_name_H-M_alt 'C m c 21'
_space_group_IT_number 36
_space_group_name_Hall 'C 2c -2'
_cell_length_a 5.722
_cell_length_b 20.286
_cell_length_c 10.723
_cell_angle_alpha 90.00
_cell_angle_beta 90.00
_cell_angle_gamma 90.00
loop_
_atom_site_label
_atom_site_type_symbol
_atom_site_fract_x
_atom_site_fract_y
_atom_site_fract_z
Pr1 Pr 0.000 0.085 0.000
Nd1 Nd 0.000 0.296 0.559
Sm1 Sm 0.000 0.023 0.288
Sm2 Sm 0.000 0.107 0.575
Sm3 Sm 0.000 0.203 0.254
Sm4 Sm 0.000 0.218 0.858
Sm5 Sm 0.000 0.482 0.575
Y1 Y 0.000 0.383 0.874
Y2 Y 0.000 0.389 0.282
```

Energy relative to the elements   0.145 eV per atom

---

no.,E (eV per cell)
1,-49.61
2,-179.05